# 1
{"formula": "Li2SiPd6", "functional": "GGA-PBE", "state": "optimized geometry", "formation_energy_uncorrected_ev_per_atom": -0.4453, "space_group": "No. 38", "relative_energy_kcal_per_mol_atoms": 0.00, "lattice_angstrom": [[2.858, 0.000, 0.000], [0.000, 6.601, -3.040], [0.000, -0.711, 7.143]], "species": ["Pd", "Pd", "Pd", "Pd", "Pd", "Pd", "Si", "Li", "Li"], "fractional_positions": [[0.500, 0.998, 0.615], [0.000, 0.275, 0.000], [0.500, 0.383, 0.385], [0.000, 0.997, 0.268], [0.000, 0.730, 0.732], [0.500, 0.614, 0.000], [0.500, 0.007, 0.000], [0.000, 0.331, 0.665], [0.000, 0.666, 0.335]]}

=====

# 2
{"formula": "Li3Si2Pd2", "functional": "GGA-PBE", "state": "optimized geometry", "formation_energy_uncorrected_ev_per_atom": -0.5762, "space_group": "No. 166", "lattice_angstrom": [[-2.552, -2.125, 2.581], [1.085, -1.647, -3.715], [6.131, -0.668, 2.079]], "species": ["Li", "Li", "Li", "Pd", "Pd", "Si", "Si"], "fractional_positions": [[0.000, 0.000, 0.000], [0.716, 0.858, 0.574], [0.284, 0.142, 0.426], [0.567, 0.284, 0.850], [0.433, 0.716, 0.150], [0.849, 0.424, 0.273], [0.151, 0.576, 0.727]]}

=====

# 3
{"formula": "Li2SiPd2", "functional": "GGA-PBE", "state": "optimized geometry", "formation_energy_uncorrected_ev_per_atom": -0.6170, "space_group": "No. 15", "relative_energy_kcal_per_mol_atoms": 0.00, "lattice_angstrom": [[-2.183, -3.549, -2.929], [2.177, 3.857, -1.867], [4.584, -5.368, 3.088]], "species": ["Si", "Si", "Pd", "Pd", "Pd", "Pd", "Li", "Li", "Li", "Li"], "fractional_positions": [[0.374, 0.000, 0.250], [0.626, 0.000, 0.750], [0.434, 0.619, 0.369], [0.816, 0.381, 0.131], [0.184, 0.619, 0.869], [0.566, 0.381, 0.631], [0.023, 0.794, 0.543], [0.229, 0.206, 0.957], [0.977, 0.206, 0.457], [0.771, 0.794, 0.043]]}

=====

# 4
{"formula": "Li2SiPd3", "functional": "GGA-PBE", "state": "optimized geometry", "formation_energy_uncorrected_ev_per_atom": -0.5023, "space_group": "No. 15", "relative_energy_kcal_per_mol_atoms": 2.45, "lattice_angstrom": [[-1.561, -5.021, -0.709], [2.108, 0.057, -5.040], [5.744, 0.497, 3.691]], "species": ["Pd", "Pd", "Pd", "Pd", "Pd", "Pd", "Si", "Si", "Li", "Li", "Li", "Li"], "fractional_positions": [[0.360, 0.750, 0.000], [0.123, 0.059, 0.272], [0.150, 0.559, 0.272], [0.877, 0.941, 0.728], [0.640, 0.250, 0.000], [0.850, 0.441, 0.728], [0.203, 0.250, 0.000], [0.797, 0.750, 0.000], [0.299, 0.400, 0.647], [0.701, 0.600, 0.353], [0.348, 0.900, 0.647], [0.652, 0.100, 0.353]]}

=====

# 5
{"formula": "Li2SiPd2", "functional": "GGA-PBE", "state": "optimized geometry", "formation_energy_uncorrected_ev_per_atom": -0.1782, "space_group": "No. 139", "relative_energy_kcal_per_mol_atoms": 10.12, "lattice_angstrom": [[-2.603, -0.877, 1.507], [1.620, -0.215, 2.673], [-1.947, 6.224, 3.518]], "species": ["Pd", "Pd", "Li", "Li", "Si"], "fractional_positions": [[0.597, 0.597, 0.805], [0.403, 0.403, 0.195], [0.250, 0.750, 0.500], [0.750, 0.250, 0.500], [0.000, 0.000, 0.000]]}

=====

# 6
{"formula": "Li2SiPd2", "functional": "GGA-PBE", "state": "optimized geometry", "formation_energy_uncorrected_ev_per_atom": -0.4862, "space_group": "No. 127", "relative_energy_kcal_per_mol_atoms": 3.02, "lattice_angstrom": [[-2.393, 1.702, 5.411], [-5.018, -3.374, -1.157], [1.802, -3.311, 1.838]], "species": ["Li", "Li", "Li", "Li", "Pd", "Pd", "Pd", "Pd", "Si", "Si"], "fractional_positions": [[0.839, 0.339, 0.500], [0.339, 0.161, 0.500], [0.661, 0.839, 0.500], [0.161, 0.661, 0.500], [0.845, 0.655, 0.000], [0.345, 0.845, 0.000], [0.155, 0.345, 0.000], [0.655, 0.155, 0.000], [0.500, 0.500, 0.000], [0.000, 0.000, 0.000]]}

=====

# 7
{"formula": "Li6SiPd", "functional": "GGA-PBE", "state": "optimized geometry", "formation_energy_uncorrected_ev_per_atom": -0.2297, "space_group": "No. 2", "lattice_angstrom": [[-5.608, 0.039, 4.151], [-4.525, -5.286, -0.254], [-1.908, -3.112, 3.321]], "species": ["Li", "Li", "Li", "Li", "Li", "Li", "Pd", "Si"], "fractional_positions": [[0.247, 0.000, 0.253], [0.753, 0.000, 0.747], [0.000, 0.500, 0.747], [0.499, 0.753, 0.748], [0.000, 0.500, 0.253], [0.501, 0.247, 0.252], [0.500, 0.500, 0.500], [0.000, 0.000, 0.000]]}

=====

# 8
{"formula": "Li12SiPd6", "functional": "GGA-PBE", "state": "optimized geometry", "formation_energy_uncorrected_ev_per_atom": -0.3443, "space_group": "No. 148", "lattice_angstrom": [[6.640, -0.215, 0.317], [0.292, 6.637, 0.317], [-0.232, -0.215, 6.643]], "species": ["Pd", "Pd", "Pd", "Pd", "Pd", "Pd", "Li", "Li", "Li", "Li", "Li", "Li", "Li", "Li", "Li", "Li", "Li", "Li", "Si"], "fractional_positions": [[0.734, 0.877, 0.257], [0.123, 0.743, 0.266], [0.257, 0.734, 0.877], [0.877, 0.257, 0.734], [0.743, 0.266, 0.123], [0.266, 0.123, 0.743], [0.579, 0.186, 0.477], [0.421, 0.814, 0.523], [0.814, 0.523, 0.421], [0.143, 0.378, 0.032], [0.477, 0.579, 0.186], [0.378, 0.032, 0.143], [0.857, 0.622, 0.968], [0.523, 0.421, 0.814], [0.032, 0.143, 0.378], [0.968, 0.857, 0.622], [0.186, 0.477, 0.579], [0.622, 0.968, 0.857], [0.000, 0.000, 0.000]]}

=====

# 9
{"formula": "LiSiPd", "functional": "GGA-PBE", "state": "optimized geometry", "formation_energy_uncorrected_ev_per_atom": -0.3425, "space_group": "No. 216", "lattice_angstrom": [[4.065, 0.000, 0.000], [2.032, 3.520, 0.000], [2.032, 1.173, 3.319]], "species": ["Pd", "Li", "Si"], "fractional_positions": [[0.250, 0.250, 0.250], [0.500, 0.500, 0.500], [0.000, 0.000, 0.000]]}

=====

# 10
{"formula": "Li4SiPd7", "functional": "GGA-PBE", "state": "optimized geometry", "formation_energy_uncorrected_ev_per_atom": -0.3376, "space_group": "No. 12", "lattice_angstrom": [[-2.446, 3.776, -1.069], [-1.065, 0.211, -6.818], [-6.333, -1.908, -2.252]], "species": ["Pd", "Pd", "Pd", "Pd", "Pd", "Pd", "Pd", "Li", "Li", "Li", "Li", "Si"], "fractional_positions": [[0.207, 0.787, 0.799], [0.208, 0.157, 0.427], [0.054, 0.623, 0.269], [0.793, 0.213, 0.201], [0.500, 0.000, 0.000], [0.946, 0.377, 0.731], [0.792, 0.843, 0.573], [0.311, 0.384, 0.995], [0.689, 0.616, 0.005], [0.425, 0.732, 0.418], [0.575, 0.268, 0.582], [0.000, 0.000, 0.000]]}

=====

# 11
{"formula": "Li2Si2Pd7", "functional": "GGA-PBE", "state": "optimized geometry", "formation_energy_uncorrected_ev_per_atom": -0.4834, "space_group": "No. 12", "lattice_angstrom": [[-1.166, 4.408, 2.786], [-2.655, -4.164, 3.098], [5.598, -0.887, 1.366]], "species": ["Pd", "Pd", "Pd", "Pd", "Pd", "Pd", "Pd", "Li", "Li", "Si", "Si"], "fractional_positions": [[0.787, 0.078, 0.560], [0.787, 0.560, 0.078], [0.187, 0.407, 0.407], [0.000, 0.000, 0.000], [0.813, 0.593, 0.593], [0.213, 0.922, 0.440], [0.213, 0.440, 0.922], [0.523, 0.193, 0.193], [0.477, 0.807, 0.807], [0.500, 0.298, 0.702], [0.500, 0.702, 0.298]]}

=====

Q: Number 8 is which compound?
A: Li12SiPd6

=====

Copy entry 5 word for word.
{"formula": "Li2SiPd2", "functional": "GGA-PBE", "state": "optimized geometry", "formation_energy_uncorrected_ev_per_atom": -0.1782, "space_group": "No. 139", "relative_energy_kcal_per_mol_atoms": 10.12, "lattice_angstrom": [[-2.603, -0.877, 1.507], [1.620, -0.215, 2.673], [-1.947, 6.224, 3.518]], "species": ["Pd", "Pd", "Li", "Li", "Si"], "fractional_positions": [[0.597, 0.597, 0.805], [0.403, 0.403, 0.195], [0.250, 0.750, 0.500], [0.750, 0.250, 0.500], [0.000, 0.000, 0.000]]}